# 1
VASP calculation (PBE) on CeSnPdSe3 after structural relaxation.

```
CeSnPdSe3
1.0
4.0063 0.0000 0.0000
0.0000 8.5015 0.2094
0.0000 -2.0325 8.8105
Se Sn Ce Pd
6 2 2 2
direct
0.2500 0.7666 0.5187
0.7500 0.9208 0.1208
0.7500 0.2334 0.4813
0.7500 0.3941 0.1546
0.2500 0.6059 0.8454
0.2500 0.0792 0.8792
0.7500 0.3327 0.8149
0.2500 0.6673 0.1851
0.7500 0.8320 0.7600
0.2500 0.1680 0.2400
0.7500 0.9028 0.4029
0.2500 0.0972 0.5971
```

Results
Uncorrected formation energy = -0.934 eV per atom
Space group = P2_1/m (11)

# 2
VASP calculation (PBE) on KSr3La2Te6 after structural relaxation.

```
KSr3La2Te6
1.0
4.6905 0.0000 0.0000
0.0000 9.5109 0.3868
-2.3453 -2.6967 9.8862
Te Sr K La
6 3 1 2
direct
0.3304 0.4191 0.6609
0.9946 0.7372 0.9892
0.3275 0.9038 0.6550
0.6696 0.5809 0.3391
0.0054 0.2628 0.0108
0.6725 0.0962 0.3450
0.5000 0.5000 0.0000
0.1617 0.8359 0.3235
0.8383 0.1641 0.6765
0.5000 0.0000 0.0000
0.8344 0.6665 0.6689
0.1656 0.3335 0.3311
```

Results
Uncorrected formation energy = -1.597 eV per atom
Space group = C2/m (12)

# 3
VASP calculation (PBE) on TmScIrAu after structural relaxation.

```
TmScIrAu
1.0
4.8017 0.0000 0.0000
2.4009 4.1584 0.0000
2.4009 1.3861 3.9206
Au Ir Sc Tm
1 1 1 1
direct
0.0000 0.0000 0.0000
0.5000 0.5000 0.5000
0.2500 0.2500 0.2500
0.7500 0.7500 0.7500
```

Results
Space group = F-43m (216)
Excess energy over the best structure of this formula in the dataset = 27 meV/atom

# 4
VASP calculation (PBE) on Pm5Sm12Pb2 after structural relaxation.

```
Pm5Sm12Pb2
1.0
9.6042 0.0000 0.0000
-4.8021 11.2080 -1.3290
0.0000 -5.4987 6.6078
Pb Sm Pm
2 12 5
direct
0.6944 0.0000 0.0000
0.3056 0.0000 0.0000
0.4478 0.8955 0.2093
0.9663 0.2983 0.0642
0.5708 0.7538 0.4073
0.3320 0.2983 0.0642
0.9200 0.8400 0.7210
0.0800 0.1600 0.2790
0.1830 0.7538 0.4073
0.8170 0.2462 0.5927
0.5522 0.1045 0.7907
0.0337 0.7017 0.9358
0.6680 0.7017 0.9358
0.4292 0.2462 0.5927
0.3168 0.6336 0.6348
0.0000 0.0000 0.5000
0.2351 0.4702 0.8830
0.6832 0.3664 0.3652
0.7649 0.5298 0.1170
```

Results
VASP energy = -4.665 eV per atom
Space group = C2/m (12)

# 5
VASP calculation (PBE) on KTl2O after structural relaxation.

```
KTl2O
1.0
-7.8247 2.1321 -2.1306
-2.4068 -0.8513 7.9871
-4.4668 3.5246 3.4312
Tl K O
4 2 2
direct
0.3750 0.4640 0.7500
0.8750 0.7860 0.7500
0.5360 0.1250 0.2500
0.2140 0.6250 0.2500
0.7500 0.2500 0.5000
0.0000 0.0000 0.0000
0.2500 0.7500 0.5000
0.5000 0.5000 0.0000
```

Results
Uncorrected formation energy = -0.421 eV per atom
Space group = I-42d (122)
Excess energy over the best structure of this formula in the dataset = 0 meV/atom

# 6
VASP calculation (PBE) on TcTe2As after structural relaxation.

```
TcTe2As
1.0
-1.5956 -3.0278 0.3035
3.2312 -1.3060 3.9588
-3.0209 1.9020 3.0932
As Tc Te
1 1 2
direct
0.5000 0.0000 0.5000
0.0000 0.5000 0.5000
0.5000 0.5000 0.0000
0.0000 0.0000 0.0000
```

Results
Uncorrected formation energy = 0.740 eV per atom
Space group = Pmmm (47)

# 7
VASP calculation (PBE) on Hg2GeAu after structural relaxation.

```
Hg2GeAu
1.0
6.3495 0.0000 0.0000
0.0000 6.3495 0.0000
3.1748 3.1748 6.1835
Hg Au Ge
4 2 2
direct
0.8750 0.8519 0.7500
0.6019 0.1250 0.2500
0.3750 0.3981 0.7500
0.1481 0.6250 0.2500
0.0000 0.0000 0.0000
0.7500 0.2500 0.5000
0.2500 0.7500 0.5000
0.5000 0.5000 0.0000
```

Results
VASP energy = -1.704 eV per atom
Space group = I-42d (122)

# 8
VASP calculation (PBE) on CaDyTlZn after structural relaxation.

```
CaDyTlZn
1.0
-2.4354 -4.3389 1.7528
1.6641 -2.3569 4.4165
-2.9435 0.2117 4.3727
Dy Tl Ca Zn
1 1 1 1
direct
0.7500 0.7500 0.7500
0.5000 0.5000 0.5000
0.2500 0.2500 0.2500
0.0000 0.0000 0.0000
```

Results
Space group = F-43m (216)
Excess energy over the best structure of this formula in the dataset = 9 meV/atom

# 9
VASP calculation (PBE) on PrTiRh2 after structural relaxation.

```
PrTiRh2
1.0
3.1700 0.0000 0.0000
0.0000 3.1700 0.0000
0.0000 0.0000 7.3232
Rh Pr Ti
2 1 1
direct
0.0000 0.0000 0.8024
0.0000 0.0000 0.1976
0.5000 0.5000 0.5000
0.5000 0.5000 0.0000
```

Results
VASP energy = -7.463 eV per atom
Space group = P4/mmm (123)

# 10
VASP calculation (PBE) on Er2Tm3Zn2 after structural relaxation.

```
Er2Tm3Zn2
1.0
3.4812 0.0000 0.4620
0.0266 3.5063 -0.2003
-0.1796 -0.9292 14.6997
Tm Er Zn
3 2 2
direct
0.1205 0.8783 0.7589
0.0000 0.0000 0.0000
0.8795 0.1217 0.2411
0.7080 0.2919 0.5841
0.2920 0.7081 0.4159
0.4400 0.5616 0.1201
0.5600 0.4384 0.8799
```

Results
Space group = C2/m (12)
Excess energy over the best structure of this formula in the dataset = 0 meV/atom

| no. | volume (A^3/atom) | total moment (μB/f.u.) |
| --- | --- | --- |
| 1 | 25.1 | 0.14 |
| 2 | 37.2 | 0.00 |
| 3 | 19.6 | 0.00 |
| 4 | 33.7 | 0.00 |
| 5 | 26.4 | 0.00 |
| 6 | 21.4 | 1.49 |
| 7 | 31.2 | 0.00 |
| 8 | 26.0 | 0.00 |
| 9 | 18.4 | 0.00 |
| 10 | 25.6 | 0.00 |